PBE-GGA MgMn2Re, relaxed; D(E_F) = 4.5 states/eV/f.u.; E_form = 34 kJ per mole of atoms; space group = Pmm2; calculated total energy = -0.5694 Ry/atom; V = 58 Å³/f.u.; ρ = 9.211 g/cm3
1.0
2.638 0.000 0.000
0.000 4.066 0.000
0.000 0.000 5.384
Re Mn Mg
1 2 1
direct
0.000 0.000 0.469
0.000 0.000 0.004
0.500 0.500 0.263
0.500 0.500 0.763